Density functional theory data (PBE) for a geometry-optimized ZnTc2Bi structure.

ΔH_f (0 K): 0.5606 eV per atom
Relative energy among the computed polymorphs: 0.026 eV per atom

Geometry as CIF:
```
data_ZnTc2Bi
_chemical_formula_sum 'Zn2 Tc4 Bi2'
_cell_length_a 9.866
_cell_length_b 9.866
_cell_length_c 9.866
_cell_angle_alpha 156.18
_cell_angle_beta 156.18
_cell_angle_gamma 33.94
_space_group_name_H-M_alt 'P 1'
_space_group_IT_number 1
loop_
_space_group_symop_operation_xyz
'x,y,z'
loop_
_atom_site_label
_atom_site_type_symbol
_atom_site_fract_x
_atom_site_fract_y
_atom_site_fract_z
Zn1 Zn 0.000 0.000 0.000
Zn2 Zn 0.750 0.250 0.500
Tc1 Tc 0.034 0.625 0.909
Tc2 Tc 0.375 0.284 0.409
Tc3 Tc 0.716 0.125 0.091
Tc4 Tc 0.875 0.966 0.591
Bi1 Bi 0.250 0.750 0.500
Bi2 Bi 0.500 0.500 0.000
```

Density functional theory data (PBE) for a geometry-optimized Zr4TcBi2 structure.

ΔH_f (0 K): 0.1185 eV per atom

Geometry as CIF:
```
data_Zr4TcBi2
_chemical_formula_sum 'Zr4 Tc1 Bi2'
_cell_length_a 8.450
_cell_length_b 8.450
_cell_length_c 8.450
_cell_angle_alpha 145.86
_cell_angle_beta 145.86
_cell_angle_gamma 49.05
_space_group_name_H-M_alt 'P 1'
_space_group_IT_number 1
loop_
_space_group_symop_operation_xyz
'x,y,z'
loop_
_atom_site_label
_atom_site_type_symbol
_atom_site_fract_x
_atom_site_fract_y
_atom_site_fract_z
Zr1 Zr 0.000 0.500 0.500
Zr2 Zr 0.166 0.166 0.000
Zr3 Zr 0.500 0.000 0.500
Zr4 Zr 0.834 0.834 0.000
Tc1 Tc 0.000 0.000 0.000
Bi1 Bi 0.361 0.361 0.000
Bi2 Bi 0.639 0.639 0.000
```

Density functional theory data (PBE) for a geometry-optimized Zr3TcBi structure.

ΔH_f (0 K): 0.2209 eV per atom
Relative energy among the computed polymorphs: 0.000 eV per atom

Geometry as CIF:
```
data_Zr3TcBi
_chemical_formula_sum 'Zr3 Tc1 Bi1'
_cell_length_a 5.055
_cell_length_b 5.055
_cell_length_c 5.055
_cell_angle_alpha 90.00
_cell_angle_beta 90.00
_cell_angle_gamma 90.00
_space_group_name_H-M_alt 'P 1'
_space_group_IT_number 1
loop_
_space_group_symop_operation_xyz
'x,y,z'
loop_
_atom_site_label
_atom_site_type_symbol
_atom_site_fract_x
_atom_site_fract_y
_atom_site_fract_z
Zr1 Zr 0.000 0.000 0.500
Zr2 Zr 0.000 0.500 0.000
Zr3 Zr 0.500 0.000 0.000
Tc1 Tc 0.000 0.000 0.000
Bi1 Bi 0.500 0.500 0.500
```

Density functional theory data (PBE) for a geometry-optimized ZrTcBi structure.

ΔH_f (0 K): 0.1507 eV per atom
Relative energy among the computed polymorphs: 0.142 eV per atom

Geometry as CIF:
```
data_ZrTcBi
_chemical_formula_sum 'Zr1 Tc1 Bi1'
_cell_length_a 3.329
_cell_length_b 3.329
_cell_length_c 7.163
_cell_angle_alpha 108.94
_cell_angle_beta 108.94
_cell_angle_gamma 62.41
_space_group_name_H-M_alt 'P 1'
_space_group_IT_number 1
loop_
_space_group_symop_operation_xyz
'x,y,z'
loop_
_atom_site_label
_atom_site_type_symbol
_atom_site_fract_x
_atom_site_fract_y
_atom_site_fract_z
Zr1 Zr 0.000 0.000 0.000
Tc1 Tc 0.334 0.334 0.699
Bi1 Bi 0.853 0.853 0.386
```

Density functional theory data (PBE) for a geometry-optimized ZrTc3Bi structure.

ΔH_f (0 K): 1.6850 eV per atom
Relative energy among the computed polymorphs: 0.000 eV per atom

Geometry as CIF:
```
data_ZrTc3Bi
_chemical_formula_sum 'Zr1 Tc3 Bi1'
_cell_length_a 4.853
_cell_length_b 4.853
_cell_length_c 4.853
_cell_angle_alpha 90.00
_cell_angle_beta 90.00
_cell_angle_gamma 90.00
_space_group_name_H-M_alt 'P 1'
_space_group_IT_number 1
loop_
_space_group_symop_operation_xyz
'x,y,z'
loop_
_atom_site_label
_atom_site_type_symbol
_atom_site_fract_x
_atom_site_fract_y
_atom_site_fract_z
Zr1 Zr 0.000 0.000 0.000
Tc1 Tc 0.000 0.000 0.500
Tc2 Tc 0.000 0.500 0.000
Tc3 Tc 0.500 0.000 0.000
Bi1 Bi 0.500 0.500 0.500
```

Density functional theory data (PBE) for a geometry-optimized Zr2Tc2Bi structure.

ΔH_f (0 K): 0.0140 eV per atom

Geometry as CIF:
```
data_Zr2Tc2Bi
_chemical_formula_sum 'Zr4 Tc4 Bi2'
_cell_length_a 7.627
_cell_length_b 7.627
_cell_length_c 3.499
_cell_angle_alpha 90.00
_cell_angle_beta 90.00
_cell_angle_gamma 90.00
_space_group_name_H-M_alt 'P 1'
_space_group_IT_number 1
loop_
_space_group_symop_operation_xyz
'x,y,z'
loop_
_atom_site_label
_atom_site_type_symbol
_atom_site_fract_x
_atom_site_fract_y
_atom_site_fract_z
Zr1 Zr 0.187 0.313 0.000
Zr2 Zr 0.313 0.813 0.000
Zr3 Zr 0.687 0.187 0.000
Zr4 Zr 0.813 0.687 0.000
Tc1 Tc 0.110 0.610 0.500
Tc2 Tc 0.390 0.110 0.500
Tc3 Tc 0.610 0.890 0.500
Tc4 Tc 0.890 0.390 0.500
Bi1 Bi 0.000 0.000 0.500
Bi2 Bi 0.500 0.500 0.500
```

Density functional theory data (PBE) for a geometry-optimized ZrTcBi structure.

ΔH_f (0 K): 0.1020 eV per atom
Relative energy among the computed polymorphs: 0.093 eV per atom

Geometry as CIF:
```
data_ZrTcBi
_chemical_formula_sum 'Zr2 Tc2 Bi2'
_cell_length_a 11.950
_cell_length_b 11.950
_cell_length_c 11.950
_cell_angle_alpha 18.77
_cell_angle_beta 18.77
_cell_angle_gamma 18.77
_space_group_name_H-M_alt 'P 1'
_space_group_IT_number 1
loop_
_space_group_symop_operation_xyz
'x,y,z'
loop_
_atom_site_label
_atom_site_type_symbol
_atom_site_fract_x
_atom_site_fract_y
_atom_site_fract_z
Zr1 Zr 0.057 0.057 0.057
Zr2 Zr 0.943 0.943 0.943
Tc1 Tc 0.344 0.344 0.344
Tc2 Tc 0.656 0.656 0.656
Bi1 Bi 0.210 0.210 0.210
Bi2 Bi 0.790 0.790 0.790
```

Density functional theory data (PBE) for a geometry-optimized ZrTcBi structure.

ΔH_f (0 K): 0.0548 eV per atom
Relative energy among the computed polymorphs: 0.046 eV per atom

Geometry as CIF:
```
data_ZrTcBi
_chemical_formula_sum 'Zr1 Tc1 Bi1'
_cell_length_a 4.831
_cell_length_b 4.831
_cell_length_c 4.831
_cell_angle_alpha 136.97
_cell_angle_beta 118.37
_cell_angle_gamma 78.10
_space_group_name_H-M_alt 'P 1'
_space_group_IT_number 1
loop_
_space_group_symop_operation_xyz
'x,y,z'
loop_
_atom_site_label
_atom_site_type_symbol
_atom_site_fract_x
_atom_site_fract_y
_atom_site_fract_z
Zr1 Zr 0.000 0.000 0.000
Tc1 Tc 0.711 0.211 0.500
Bi1 Bi 0.408 0.408 0.000
```

Density functional theory data (PBE) for a geometry-optimized Zr6TcBi2 structure.

ΔH_f (0 K): -0.3118 eV per atom

Geometry as CIF:
```
data_Zr6TcBi2
_chemical_formula_sum 'Zr6 Tc1 Bi2'
_cell_length_a 8.031
_cell_length_b 8.031
_cell_length_c 3.688
_cell_angle_alpha 90.00
_cell_angle_beta 90.00
_cell_angle_gamma 120.00
_space_group_name_H-M_alt 'P 1'
_space_group_IT_number 1
loop_
_space_group_symop_operation_xyz
'x,y,z'
loop_
_atom_site_label
_atom_site_type_symbol
_atom_site_fract_x
_atom_site_fract_y
_atom_site_fract_z
Zr1 Zr 0.000 0.245 0.000
Zr2 Zr 0.000 0.607 0.500
Zr3 Zr 0.245 0.000 0.000
Zr4 Zr 0.393 0.393 0.500
Zr5 Zr 0.607 0.000 0.500
Zr6 Zr 0.755 0.755 0.000
Tc1 Tc 0.000 0.000 0.500
Bi1 Bi 0.333 0.667 0.000
Bi2 Bi 0.667 0.333 0.000
```

Density functional theory data (PBE) for a geometry-optimized Zr3TcBi structure.

ΔH_f (0 K): 1.5846 eV per atom
Relative energy among the computed polymorphs: 1.364 eV per atom

Geometry as CIF:
```
data_Zr3TcBi
_chemical_formula_sum 'Zr3 Tc1 Bi1'
_cell_length_a 5.334
_cell_length_b 5.334
_cell_length_c 5.334
_cell_angle_alpha 90.00
_cell_angle_beta 90.00
_cell_angle_gamma 90.00
_space_group_name_H-M_alt 'P 1'
_space_group_IT_number 1
loop_
_space_group_symop_operation_xyz
'x,y,z'
loop_
_atom_site_label
_atom_site_type_symbol
_atom_site_fract_x
_atom_site_fract_y
_atom_site_fract_z
Zr1 Zr 0.000 0.000 0.500
Zr2 Zr 0.000 0.500 0.000
Zr3 Zr 0.500 0.000 0.000
Tc1 Tc 0.500 0.500 0.500
Bi1 Bi 0.000 0.000 0.000
```

Density functional theory data (PBE) for a geometry-optimized ZrTc3Bi structure.

ΔH_f (0 K): 1.8906 eV per atom
Relative energy among the computed polymorphs: 0.206 eV per atom

Geometry as CIF:
```
data_ZrTc3Bi
_chemical_formula_sum 'Zr1 Tc3 Bi1'
_cell_length_a 4.897
_cell_length_b 4.897
_cell_length_c 4.897
_cell_angle_alpha 90.00
_cell_angle_beta 90.00
_cell_angle_gamma 90.00
_space_group_name_H-M_alt 'P 1'
_space_group_IT_number 1
loop_
_space_group_symop_operation_xyz
'x,y,z'
loop_
_atom_site_label
_atom_site_type_symbol
_atom_site_fract_x
_atom_site_fract_y
_atom_site_fract_z
Zr1 Zr 0.000 0.000 0.000
Tc1 Tc 0.000 0.500 0.500
Tc2 Tc 0.500 0.000 0.500
Tc3 Tc 0.500 0.500 0.000
Bi1 Bi 0.500 0.500 0.500
```

Density functional theory data (PBE) for a geometry-optimized ZrTcBi structure.

ΔH_f (0 K): 0.0088 eV per atom
Relative energy among the computed polymorphs: 0.000 eV per atom

Geometry as CIF:
```
data_ZrTcBi
_chemical_formula_sum 'Zr1 Tc1 Bi1'
_cell_length_a 3.337
_cell_length_b 6.226
_cell_length_c 6.226
_cell_angle_alpha 30.88
_cell_angle_beta 90.00
_cell_angle_gamma 90.00
_space_group_name_H-M_alt 'P 1'
_space_group_IT_number 1
loop_
_space_group_symop_operation_xyz
'x,y,z'
loop_
_atom_site_label
_atom_site_type_symbol
_atom_site_fract_x
_atom_site_fract_y
_atom_site_fract_z
Zr1 Zr 0.000 0.000 0.000
Tc1 Tc 0.500 0.627 0.627
Bi1 Bi 0.000 0.273 0.273
```

Density functional theory data (PBE) for a geometry-optimized ZrTcBi structure.

ΔH_f (0 K): 0.1599 eV per atom
Relative energy among the computed polymorphs: 0.151 eV per atom

Geometry as CIF:
```
data_ZrTcBi
_chemical_formula_sum 'Zr1 Tc1 Bi1'
_cell_length_a 3.398
_cell_length_b 4.273
_cell_length_c 5.231
_cell_angle_alpha 90.00
_cell_angle_beta 108.72
_cell_angle_gamma 90.00
_space_group_name_H-M_alt 'P 1'
_space_group_IT_number 1
loop_
_space_group_symop_operation_xyz
'x,y,z'
loop_
_atom_site_label
_atom_site_type_symbol
_atom_site_fract_x
_atom_site_fract_y
_atom_site_fract_z
Zr1 Zr 0.000 0.000 0.000
Tc1 Tc 0.486 0.500 0.971
Bi1 Bi 0.763 0.500 0.519
```

Density functional theory data (PBE) for a geometry-optimized Bi2Te3 structure.

Raw formation energy: 1.2 eV per formula unit

Geometry as CIF:
```
data_Bi2Te3
_chemical_formula_sum 'Bi2 Te3'
_cell_length_a 5.722
_cell_length_b 5.722
_cell_length_c 5.722
_cell_angle_alpha 70.68
_cell_angle_beta 70.68
_cell_angle_gamma 70.68
_space_group_name_H-M_alt 'P 1'
_space_group_IT_number 1
loop_
_space_group_symop_operation_xyz
'x,y,z'
loop_
_atom_site_label
_atom_site_type_symbol
_atom_site_fract_x
_atom_site_fract_y
_atom_site_fract_z
Bi1 Bi 0.128 0.128 0.128
Bi2 Bi 0.872 0.872 0.872
Te1 Te 0.000 0.500 0.500
Te2 Te 0.500 0.000 0.500
Te3 Te 0.500 0.500 0.000
```

Number 1: V 19.56 A^3/atom. Number 2: V 27.02 A^3/atom. Number 3: V 25.83 A^3/atom. Number 4: V 21.69 A^3/atom. Number 5: V 22.86 A^3/atom. Number 6: V 20.36 A^3/atom. Number 7: V 25.73 A^3/atom. Number 8: V 21.93 A^3/atom. Number 9: V 22.89 A^3/atom. Number 10: V 30.35 A^3/atom. Number 11: V 23.48 A^3/atom. Number 12: V 22.13 A^3/atom. Number 13: V 23.98 A^3/atom. Number 14: V 32.33 A^3/atom.